(P)
Hf2NiCl: relaxed, PBE.

Structure (CIF):
```
data_Hf2NiCl
_cell_length_a 5.500
_cell_length_b 5.500
_cell_length_c 12.196
_cell_angle_alpha 90.00
_cell_angle_beta 90.00
_cell_angle_gamma 90.00
_symmetry_space_group_name_H-M 'I -4 2 d'
_symmetry_Int_Tables_number 122
_symmetry_space_group_name_Hall 'I -4 2bw'
loop_
_atom_site_label
_atom_site_type_symbol
_atom_site_fract_x
_atom_site_fract_y
_atom_site_fract_z
Hf1 Hf 0.219 0.250 0.125
Ni1 Ni 0.000 0.000 0.000
Cl1 Cl 0.000 0.000 0.500
```

---

(Q)
Hf2NiCl: relaxed, PBE.

Structure (CIF):
```
data_Hf2NiCl
_cell_length_a 6.505
_cell_length_b 6.505
_cell_length_c 6.505
_cell_angle_alpha 90.00
_cell_angle_beta 90.00
_cell_angle_gamma 90.00
_symmetry_space_group_name_H-M 'F m -3 m'
_symmetry_Int_Tables_number 225
_symmetry_space_group_name_Hall '-F 4 2 3'
loop_
_atom_site_label
_atom_site_type_symbol
_atom_site_fract_x
_atom_site_fract_y
_atom_site_fract_z
Hf1 Hf 0.250 0.250 0.250
Ni1 Ni 0.000 0.000 0.000
Cl1 Cl 0.000 0.000 0.500
```

---

Most stable = (Q)

---

(P)
HfNiPCl2: relaxed, PBE.

Structure (CIF):
```
data_HfNiPCl2
_cell_length_a 4.856
_cell_length_b 4.856
_cell_length_c 5.170
_cell_angle_alpha 90.00
_cell_angle_beta 90.00
_cell_angle_gamma 90.00
_symmetry_space_group_name_H-M 'P 4/m m m'
_symmetry_Int_Tables_number 123
_symmetry_space_group_name_Hall '-P 4 2'
loop_
_atom_site_label
_atom_site_type_symbol
_atom_site_fract_x
_atom_site_fract_y
_atom_site_fract_z
Hf1 Hf 0.000 0.000 0.000
Ni1 Ni 0.500 0.500 0.500
P1 P 0.000 0.000 0.500
Cl1 Cl 0.000 0.500 0.000
```

---

(Q)
HfNiPCl2: relaxed, PBE.

Structure (CIF):
```
data_HfNiPCl2
_cell_length_a 4.334
_cell_length_b 4.334
_cell_length_c 4.857
_cell_angle_alpha 90.00
_cell_angle_beta 90.00
_cell_angle_gamma 90.00
_symmetry_space_group_name_H-M 'P 4/m m m'
_symmetry_Int_Tables_number 123
_symmetry_space_group_name_Hall '-P 4 2'
loop_
_atom_site_label
_atom_site_type_symbol
_atom_site_fract_x
_atom_site_fract_y
_atom_site_fract_z
Hf1 Hf 0.000 0.000 0.000
Ni1 Ni 0.500 0.500 0.500
P1 P 0.500 0.500 0.000
Cl1 Cl 0.000 0.500 0.500
```

---

Most stable = (P)

---

(P)
HfSc2NiCl: relaxed, PBE.

Structure (CIF):
```
data_HfSc2NiCl
_cell_length_a 4.813
_cell_length_b 4.813
_cell_length_c 4.243
_cell_angle_alpha 90.00
_cell_angle_beta 90.00
_cell_angle_gamma 90.00
_symmetry_space_group_name_H-M 'P 4/m m m'
_symmetry_Int_Tables_number 123
_symmetry_space_group_name_Hall '-P 4 2'
loop_
_atom_site_label
_atom_site_type_symbol
_atom_site_fract_x
_atom_site_fract_y
_atom_site_fract_z
Hf1 Hf 0.000 0.000 0.000
Sc1 Sc 0.000 0.500 0.500
Ni1 Ni 0.500 0.500 0.000
Cl1 Cl 0.500 0.500 0.500
```

---

(Q)
HfSc2NiCl: relaxed, PBE.

Structure (CIF):
```
data_HfSc2NiCl
_cell_length_a 5.475
_cell_length_b 5.475
_cell_length_c 4.439
_cell_angle_alpha 90.00
_cell_angle_beta 90.00
_cell_angle_gamma 90.00
_symmetry_space_group_name_H-M 'P 4/m m m'
_symmetry_Int_Tables_number 123
_symmetry_space_group_name_Hall '-P 4 2'
loop_
_atom_site_label
_atom_site_type_symbol
_atom_site_fract_x
_atom_site_fract_y
_atom_site_fract_z
Hf1 Hf 0.000 0.000 0.000
Sc1 Sc 0.000 0.500 0.000
Ni1 Ni 0.000 0.000 0.500
Cl1 Cl 0.500 0.500 0.500
```

---

Most stable = (P)